{
  "formula": "NiIO3",
  "functional": "PBE+U",
  "state": "optimized geometry",
  "mass_density_g_cm3": 7.0,
  "dos_at_fermi_per_ev_fu": 1.4,
  "magmom_total_mub_per_cell": 1.5,
  "total_energy_ev_per_atom": -3.7337,
  "lattice": [[3.8211, 0.0000, 0.0000], [0.0000, 3.8211, 0.0000], [0.0000, 0.0000, 3.8211]],
  "species": ["Ni", "I", "O", "O", "O"],
  "frac_coords": [[0.0000, 0.0000, 0.0000], [0.5000, 0.5000, 0.5000], [0.0000, 0.0000, 0.5000], [0.0000, 0.5000, 0.0000], [0.5000, 0.0000, 0.0000]]
}